[1]
First-principles (GGA-PBE) data for crystalline PmNd5S8 at its relaxed geometry, as listed in the Alexandria database.

a b c (Å): 7.459 7.459 7.459
angles (deg): 108.41 108.41 111.62
Atoms (fractional coordinates):
Pm 0.000 0.000 0.000
Nd 0.125 0.524 0.900
Nd 0.250 0.750 0.500
Nd 0.476 0.376 0.601
Nd 0.624 0.226 0.100
Nd 0.774 0.875 0.399
S 0.015 0.270 0.391
S 0.234 0.129 0.757
S 0.372 0.477 0.243
S 0.377 0.985 0.256
S 0.523 0.766 0.895
S 0.730 0.121 0.744
S 0.871 0.628 0.105
S 0.879 0.623 0.609

Properties
Space-group type: I-4, No. 82
Magnetic moment: 0.000 μB per formula unit
E_form (uncorrected): -2.0228 eV/atom

=====

[2]
First-principles (GGA-PBE) data for crystalline Th2GaGe at its relaxed geometry, as listed in the Alexandria database.

a b c (Å): 4.877 4.877 4.163
angles (deg): 90.00 90.00 90.00
Atoms (fractional coordinates):
Th 0.000 0.500 0.000
Th 0.500 0.000 0.000
Ga 0.000 0.000 0.500
Ge 0.500 0.500 0.500

Properties
Formation energy: -0.498 eV/atom
Space-group type: P4/mmm, No. 123
Magnetic moment: 0.000 μB per formula unit

=====

[3]
First-principles (GGA-PBE) data for crystalline BaLaIN2 at its relaxed geometry, as listed in the Alexandria database.

a b c (Å): 4.702 4.702 6.221
angles (deg): 90.00 90.00 90.00
Atoms (fractional coordinates):
Ba 0.000 0.000 0.000
La 0.500 0.500 0.500
I 0.000 0.000 0.500
N 0.000 0.500 0.000
N 0.500 0.000 0.000

Properties
Space-group type: P4/mmm, No. 123
Magnetic moment: 0.014 μB per formula unit
E_form (uncorrected): 0.6892 eV/atom

=====

[4]
First-principles (GGA-PBE) data for crystalline BaPr2Pt at its relaxed geometry, as listed in the Alexandria database.

a b c (Å): 3.746 3.746 10.095
angles (deg): 90.00 90.00 90.00
Atoms (fractional coordinates):
Ba 0.000 0.000 0.000
Pr 0.500 0.500 0.337
Pr 0.500 0.500 0.663
Pt 0.000 0.000 0.500

Properties
Formation energy: -0.426 eV/atom
Space-group type: P4/mmm, No. 123
Magnetic moment: 0.001 μB per formula unit

=====

[5]
First-principles (GGA-PBE) data for crystalline Tl2PdPt at its relaxed geometry, as listed in the Alexandria database.

a b c (Å): 7.584 7.584 7.584
angles (deg): 131.17 131.17 71.55
Atoms (fractional coordinates):
Tl 0.123 0.625 0.998
Tl 0.375 0.373 0.498
Tl 0.627 0.125 0.002
Tl 0.875 0.877 0.502
Pd 0.250 0.750 0.500
Pd 0.500 0.500 0.000
Pt 0.000 0.000 0.000
Pt 0.750 0.250 0.500

Properties
Formation energy: 0.317 eV/atom
Space-group type: I-42d, No. 122
Magnetic moment: 0.000 μB per formula unit

=====

[6]
First-principles (GGA-PBE) data for crystalline ScNiSn at its relaxed geometry, as listed in the Alexandria database.

a b c (Å): 6.677 4.385 7.516
angles (deg): 90.00 90.00 90.00
Atoms (fractional coordinates):
Sc 0.011 0.250 0.209
Sc 0.489 0.750 0.709
Sc 0.511 0.250 0.291
Sc 0.989 0.750 0.791
Ni 0.208 0.750 0.418
Ni 0.292 0.250 0.918
Ni 0.708 0.750 0.082
Ni 0.792 0.250 0.582
Sn 0.199 0.250 0.588
Sn 0.301 0.750 0.088
Sn 0.699 0.250 0.912
Sn 0.801 0.750 0.412

Properties
Formation energy: -0.631 eV/atom
Space-group type: Pnma, No. 62
Magnetic moment: 0.000 μB per formula unit

=====

[7]
First-principles (GGA-PBE) data for crystalline AsSe2Cl at its relaxed geometry, as listed in the Alexandria database.

a b c (Å): 4.085 4.085 7.841
angles (deg): 90.00 90.00 90.00
Atoms (fractional coordinates):
As 0.000 0.000 0.000
Se 0.000 0.000 0.719
Se 0.500 0.500 0.058
Cl 0.500 0.500 0.338

Properties
Space-group type: P4mm, No. 99
Magnetic moment: 0.000 μB per formula unit
E_form (uncorrected): 0.0025 eV/atom

=====

[8]
First-principles (GGA-PBE) data for crystalline ScCoRu2 at its relaxed geometry, as listed in the Alexandria database.

a b c (Å): 8.627 8.627 8.627
angles (deg): 19.01 19.01 19.01
Atoms (fractional coordinates):
Sc 0.000 0.000 0.000
Co 0.500 0.500 0.500
Ru 0.245 0.245 0.245
Ru 0.755 0.755 0.755

Properties
Formation energy: 0.206 eV/atom
Space-group type: R-3m, No. 166
Magnetic moment: 2.542 μB per formula unit

=====

[9]
First-principles (GGA-PBE) data for crystalline Li2Pm4Sn3 at its relaxed geometry, as listed in the Alexandria database.

a b c (Å): 9.345 9.345 6.454
angles (deg): 100.06 100.06 64.54
Atoms (fractional coordinates):
Li 0.088 0.372 0.392
Li 0.372 0.088 0.892
Li 0.628 0.912 0.108
Li 0.912 0.628 0.608
Pm 0.157 0.723 0.468
Pm 0.215 0.437 0.912
Pm 0.277 0.843 0.032
Pm 0.437 0.215 0.412
Pm 0.563 0.785 0.588
Pm 0.723 0.157 0.968
Pm 0.785 0.563 0.088
Pm 0.843 0.277 0.532
Sn 0.047 0.215 0.015
Sn 0.215 0.047 0.515
Sn 0.498 0.502 0.250
Sn 0.502 0.498 0.750
Sn 0.785 0.953 0.485
Sn 0.953 0.785 0.985

Properties
Formation energy: -0.436 eV/atom
Space-group type: C2/c, No. 15
Magnetic moment: 0.000 μB per formula unit

=====

[10]
First-principles (GGA-PBE) data for crystalline ScNiH at its relaxed geometry, as listed in the Alexandria database.

a b c (Å): 4.069 4.069 6.874
angles (deg): 111.83 111.83 51.01
Atoms (fractional coordinates):
Sc 0.106 0.106 0.278
Sc 0.894 0.894 0.722
Ni 0.339 0.339 0.991
Ni 0.661 0.661 0.009
H 0.356 0.356 0.550
H 0.644 0.644 0.450

Properties
Space-group type: C2/m, No. 12
Magnetic moment: 0.000 μB per formula unit
E_tot: -5.47 eV/atom

=====

[11]
First-principles (GGA-PBE) data for crystalline Ti2TlInCl8 at its relaxed geometry, as listed in the Alexandria database.

a b c (Å): 7.319 7.319 9.898
angles (deg): 90.00 90.00 120.00
Atoms (fractional coordinates):
Ti 0.333 0.667 0.304
Ti 0.667 0.333 0.696
Tl 0.000 0.000 0.500
In 0.000 0.000 0.000
Cl 0.088 0.335 0.233
Cl 0.248 0.912 0.233
Cl 0.333 0.667 0.531
Cl 0.335 0.248 0.767
Cl 0.665 0.752 0.233
Cl 0.667 0.333 0.469
Cl 0.752 0.088 0.767
Cl 0.912 0.665 0.767

Properties
Space-group type: P-3, No. 147
Magnetic moment: 2.000 μB per formula unit
E_form (uncorrected): -1.2918 eV/atom

=====

[12]
First-principles (GGA-PBE) data for crystalline Y5Er2Th4 at its relaxed geometry, as listed in the Alexandria database.

a b c (Å): 11.855 11.855 8.683
angles (deg): 104.51 104.51 17.38
Atoms (fractional coordinates):
Y 0.000 0.000 0.000
Y 0.274 0.274 0.190
Y 0.363 0.363 0.905
Y 0.637 0.637 0.095
Y 0.726 0.726 0.810
Er 0.089 0.089 0.716
Er 0.911 0.911 0.284
Th 0.182 0.182 0.452
Th 0.454 0.454 0.635
Th 0.546 0.546 0.365
Th 0.818 0.818 0.548

Properties
Formation energy: 0.023 eV/atom
Space-group type: C2/m, No. 12
Magnetic moment: 0.000 μB per formula unit

=====

[13]
First-principles (GGA-PBE) data for crystalline BaErAg2 at its relaxed geometry, as listed in the Alexandria database.

a b c (Å): 6.381 6.381 6.381
angles (deg): 46.97 46.97 46.97
Atoms (fractional coordinates):
Ba 0.000 0.000 0.000
Er 0.500 0.500 0.500
Ag 0.201 0.201 0.201
Ag 0.799 0.799 0.799

Properties
Formation energy: -0.166 eV/atom
Space-group type: R-3m, No. 166
Magnetic moment: 0.000 μB per formula unit

=====

[14]
First-principles (GGA-PBE) data for crystalline BRh2Au at its relaxed geometry, as listed in the Alexandria database.

a b c (Å): 3.096 3.096 6.639
angles (deg): 90.00 90.00 120.00
Atoms (fractional coordinates):
B 0.000 0.000 0.000
Rh 0.333 0.667 0.169
Rh 0.667 0.333 0.831
Au 0.000 0.000 0.500

Properties
Formation energy: -0.190 eV/atom
Space-group type: P-3m1, No. 164
Magnetic moment: 0.000 μB per formula unit

=====

[15]
First-principles (GGA-PBE) data for crystalline TeMo2Br at its relaxed geometry, as listed in the Alexandria database.

a b c (Å): 5.130 5.130 5.130
angles (deg): 130.95 130.95 71.89
Atoms (fractional coordinates):
Te 0.000 0.000 0.000
Mo 0.500 0.500 0.000
Mo 0.750 0.250 0.500
Br 0.250 0.750 0.500

Properties
Space-group type: I-4m2, No. 119
Magnetic moment: 0.000 μB per formula unit
E_form (uncorrected): 0.9497 eV/atom

=====

[16]
First-principles (GGA-PBE) data for crystalline KPdBr at its relaxed geometry, as listed in the Alexandria database.

a b c (Å): 4.801 4.757 8.789
angles (deg): 90.00 105.76 90.00
Atoms (fractional coordinates):
K 0.000 0.000 0.000
K 0.262 0.000 0.526
Pd 0.551 0.500 0.105
Pd 0.637 0.000 0.275
Br 0.401 0.500 0.812
Br 0.697 0.500 0.393

Properties
Space-group type: Pm, No. 6
Magnetic moment: 0.000 μB per formula unit
E_form (uncorrected): -0.6877 eV/atom

=====

[17]
First-principles (GGA-PBE) data for crystalline CaHg2Se4 at its relaxed geometry, as listed in the Alexandria database.

a b c (Å): 8.435 8.435 8.435
angles (deg): 142.33 142.33 54.33
Atoms (fractional coordinates):
Ca 0.000 0.000 0.000
Hg 0.405 0.405 0.000
Hg 0.595 0.595 0.000
Se 0.000 0.500 0.500
Se 0.238 0.238 0.000
Se 0.500 0.000 0.500
Se 0.762 0.762 0.000

Properties
Space-group type: I4/mmm, No. 139
Magnetic moment: 0.000 μB per formula unit
E_form (uncorrected): -0.1729 eV/atom

=====

[18]
First-principles (GGA-PBE) data for crystalline TlAg2Hg at its relaxed geometry, as listed in the Alexandria database.

a b c (Å): 5.294 5.294 5.294
angles (deg): 128.71 128.71 75.47
Atoms (fractional coordinates):
Tl 0.000 0.000 0.000
Ag 0.250 0.750 0.500
Ag 0.500 0.500 0.000
Hg 0.750 0.250 0.500

Properties
Formation energy: 0.124 eV/atom
Space-group type: I-4m2, No. 119
Magnetic moment: 0.000 μB per formula unit

=====

[19]
First-principles (GGA-PBE) data for crystalline Rb2TlAg2 at its relaxed geometry, as listed in the Alexandria database.

a b c (Å): 12.064 12.064 12.064
angles (deg): 161.15 161.15 26.78
Atoms (fractional coordinates):
Rb 0.121 0.121 0.000
Rb 0.879 0.879 0.000
Tl 0.500 0.500 0.000
Ag 0.250 0.750 0.500
Ag 0.750 0.250 0.500

Properties
Formation energy: 0.111 eV/atom
Space-group type: I4/mmm, No. 139
Magnetic moment: 0.000 μB per formula unit

=====

[20]
First-principles (GGA-PBE) data for crystalline Be16V2Ni at its relaxed geometry, as listed in the Alexandria database.

a b c (Å): 5.493 5.493 5.493
angles (deg): 82.91 82.91 82.91
Atoms (fractional coordinates):
Be 0.049 0.049 0.049
Be 0.154 0.154 0.654
Be 0.154 0.654 0.154
Be 0.156 0.455 0.857
Be 0.156 0.857 0.455
Be 0.317 0.805 0.805
Be 0.455 0.156 0.857
Be 0.455 0.857 0.156
Be 0.503 0.503 0.994
Be 0.503 0.994 0.503
Be 0.654 0.154 0.154
Be 0.805 0.317 0.805
Be 0.805 0.805 0.317
Be 0.857 0.156 0.455
Be 0.857 0.455 0.156
Be 0.994 0.503 0.503
V 0.495 0.495 0.495
V 0.818 0.818 0.818
Ni 0.250 0.250 0.250

Properties
Formation energy: -0.180 eV/atom
Space-group type: R3m, No. 160
Magnetic moment: 0.000 μB per formula unit

=====

[21]
First-principles (GGA-PBE) data for crystalline La3PrSm2As6 at its relaxed geometry, as listed in the Alexandria database.

a b c (Å): 7.467 7.467 7.469
angles (deg): 99.59 99.59 120.00
Atoms (fractional coordinates):
La 0.000 0.000 0.000
La 0.334 0.666 0.000
La 0.666 0.334 0.000
Pr 0.500 0.500 0.500
Sm 0.167 0.833 0.500
Sm 0.833 0.167 0.500
As 0.082 0.418 0.256
As 0.245 0.245 0.744
As 0.418 0.082 0.256
As 0.582 0.918 0.744
As 0.755 0.755 0.256
As 0.918 0.582 0.744

Properties
Formation energy: -1.544 eV/atom
Space-group type: C2/m, No. 12
Magnetic moment: 0.000 μB per formula unit

=====

[22]
First-principles (GGA-PBE) data for crystalline GaNi8Ir2 at its relaxed geometry, as listed in the Alexandria database.

a b c (Å): 6.719 6.719 5.746
angles (deg): 105.66 105.66 31.42
Atoms (fractional coordinates):
Ga 0.000 0.000 0.000
Ni 0.089 0.089 0.452
Ni 0.182 0.182 0.914
Ni 0.365 0.365 0.820
Ni 0.455 0.455 0.274
Ni 0.545 0.545 0.726
Ni 0.635 0.635 0.180
Ni 0.818 0.818 0.086
Ni 0.911 0.911 0.548
Ir 0.276 0.276 0.361
Ir 0.724 0.724 0.639

Properties
Formation energy: -0.097 eV/atom
Space-group type: C2/m, No. 12
Magnetic moment: 0.006 μB per formula unit

=====

[23]
First-principles (GGA-PBE) data for crystalline Ca2TiIn2 at its relaxed geometry, as listed in the Alexandria database.

a b c (Å): 9.028 9.028 3.404
angles (deg): 90.00 90.00 90.00
Atoms (fractional coordinates):
Ca 0.131 0.369 0.000
Ca 0.369 0.869 0.000
Ca 0.631 0.131 0.000
Ca 0.869 0.631 0.000
Ti 0.000 0.000 0.000
Ti 0.500 0.500 0.000
In 0.169 0.669 0.500
In 0.331 0.169 0.500
In 0.669 0.831 0.500
In 0.831 0.331 0.500

Properties
Formation energy: 0.148 eV/atom
Space-group type: P4/mbm, No. 127
Magnetic moment: 1.798 μB per formula unit

=====

[24]
First-principles (GGA-PBE) data for crystalline TbH3Pd at its relaxed geometry, as listed in the Alexandria database.

a b c (Å): 3.710 3.710 3.710
angles (deg): 90.00 90.00 90.00
Atoms (fractional coordinates):
Tb 0.000 0.000 0.000
H 0.000 0.500 0.500
H 0.500 0.000 0.500
H 0.500 0.500 0.000
Pd 0.500 0.500 0.500

Properties
Space-group type: Pm-3m, No. 221
Magnetic moment: 0.000 μB per formula unit
E_tot: -4.45 eV/atom